Computed, not measured: a relaxed KLiCu2Mo crystal at the PBE-GGA level of DFT.

Output
DOS(E_F), states/eV/atom: 0.535
Electronic total energy, eV per atom: -2.3874
Total magnetization, μB per cell: 5.2
ΔE_f, eV per atom: 2.020

a b c (Å): 5.410 5.821 5.410
angles (deg): 90.00 90.00 90.00
Last column: magnetic moment on the atom in μB.
Positions (direct):
Mo 0.000 0.500 0.000  3.95
K 0.000 0.000 0.000  0.06
Cu 0.000 0.000 0.500  0.01
Cu 0.500 0.000 0.000  0.00
Li 0.500 0.500 0.500  0.01